Computed, not measured: a geometry-optimized Ho2CrSbO8 structure at the PBE+U level of DFT.

Lattice parameters (Å, degrees): 4.910 4.910 6.453 90.02 90.00 92.17
Each line ends with the local moment (μB).
Fractional coordinates of all 12 atoms:
Ho 0.499 0.499 0.748  0.00
Ho 0.501 0.501 0.252  0.00
Cr 0.000 0.000 0.500  1.50
Sb 0.000 0.000 0.000  0.02
O 0.178 0.821 0.254  -0.04
O 0.711 0.711 0.999  -0.01
O 0.821 0.178 0.254  -0.04
O 0.822 0.179 0.746  -0.04
O 0.289 0.289 0.001  -0.01
O 0.179 0.822 0.746  -0.04
O 0.738 0.738 0.501  -0.14
O 0.262 0.262 0.499  -0.14

Energy = -7.25 eV/atom
Total magnetic moment = 0.99 μB/f.u.
V = 155.5 Å³/cell
Symmetry = No. 12